This record from Alexandria describes ScPRu after structural relaxation. The functional is PBE.

a b c (Å): 3.986 3.986 7.156
angles (deg): 90.00 90.00 120.00
Atoms (fractional coordinates):
Sc  0.667  0.333  0.500
Sc  0.667  0.333  0.000
P  0.000  0.000  0.757
Ru  0.333  0.667  0.714
Ru  0.333  0.667  0.286
P  0.000  0.000  0.243

Values from the calculation:
Energy of formation from the pure elements: -0.884 eV per atom
Spin magnetization: 0.0 μB/f.u.
N(E_F): 2.24 states/eV/f.u.